BaTl3Cd: optimized geometry, PBE.

```
BaTl3Cd
1.0
10.189 0.000 0.000
0.000 5.133 0.000
0.000 0.000 12.423
Ba Tl Cd
4 12 4
Direct
0.201 0.250 0.000
0.299 0.750 0.500
0.701 0.250 0.500
0.799 0.750 0.000
0.082 0.250 0.392
0.117 0.750 0.805
0.120 0.750 0.197
0.380 0.250 0.697
0.383 0.250 0.305
0.418 0.750 0.892
0.582 0.250 0.108
0.617 0.750 0.695
0.620 0.750 0.303
0.880 0.250 0.803
0.883 0.250 0.195
0.918 0.750 0.608
0.093 0.250 0.638
0.407 0.750 0.138
0.593 0.250 0.862
0.907 0.750 0.362
```

The space group is Pnma. As for the total magnetization: 0.000 μB per atom. For the total energy, the calculation gives -2.214 eV/atom.


LaY2WN4: optimized geometry, PBE.

```
LaY2WN4
1.0
1.721 -6.013 0.000
1.721 6.013 0.000
0.000 0.000 12.080
La Y W N
2 4 2 8
Direct
0.083 0.917 0.750
0.917 0.083 0.250
0.371 0.629 0.539
0.371 0.629 0.961
0.629 0.371 0.039
0.629 0.371 0.461
0.174 0.826 0.250
0.826 0.174 0.750
0.000 0.000 0.000
0.000 0.000 0.500
0.262 0.738 0.119
0.262 0.738 0.381
0.424 0.576 0.750
0.576 0.424 0.250
0.738 0.262 0.619
0.738 0.262 0.881
```

The space group is Cmcm. As for the raw formation energy: -110 kJ/mol of atoms. As for the total magnetization: 0.000 μB per atom.